A.
The following is a PBE calculation of crystalline Pr8Nd3Er2 at its relaxed geometry, from Alexandria.

Output
Density of states at the Fermi level (states/eV/f.u.): 22.84

Lattice parameters (Å, degrees): 13.3433 11.9872 6.2705 90.00 113.07 90.00
Space group C2/m (No. 12)
Asymmetric unit:
Pr 0.0568 0.0000 0.2901
Pr 0.1526 0.5000 0.5497
Pr 0.1736 0.2444 0.1725
Nd 0.0000 0.2550 0.5000
Nd 0.0000 0.5000 0.0000
Er 0.2114 0.0000 0.8586

B.
The following is a PBE calculation of crystalline Pr8Nd3Er2 at its relaxed geometry, from Alexandria.

Output
Density of states at the Fermi level (states/eV/f.u.): 19.03

Lattice parameters (Å, degrees): 20.6179 7.7975 5.8728 90.00 90.03 90.00
Space group C2/m (No. 12)
Asymmetric unit:
Pr 0.1081 0.2077 0.0003
Pr 0.1346 0.5000 0.4995
Pr 0.1754 0.0000 0.5012
Nd 0.0000 0.2127 0.5000
Nd 0.0000 0.5000 0.0000
Er 0.2410 0.5000 0.9986

Question: of the structures shown, which is the least stable? Reply: B.